(1)
DFT (SCAN) results for ZrIrW2 at its PBEsol-relaxed geometry.

```
4
Lattice="-1.671 2.167 4.541 1.671 -2.167 4.541 1.671 2.167 -4.541" Properties=species:S:1:pos:R:3 pbc="T T T"
Zr 0.000 0.000 0.000
Ir 0.000 0.000 4.541
W 1.671 0.000 2.259
W 0.000 2.167 2.282
```

Calculated values
As for the energy above the most stable polymorph in this dataset: 0.0 meV per atom.

---

(2)
DFT (SCAN) results for CaCr2Au at its PBEsol-relaxed geometry.

```
4
Lattice="3.746 0.000 0.000 0.000 3.746 0.000 0.000 0.000 4.586" Properties=species:S:1:pos:R:3 pbc="T T T"
Ca 0.000 0.000 0.000
Cr 0.000 1.873 2.293
Cr 1.873 0.000 2.293
Au 1.873 1.873 0.000
```

Calculated values
As for the energy above the most stable polymorph in this dataset: 450.9 meV per atom.

---

(3)
DFT (SCAN) results for ZrTc3W at its PBEsol-relaxed geometry.

```
5
Lattice="4.537 0.000 0.000 0.000 4.537 0.000 0.000 0.000 4.537" Properties=species:S:1:pos:R:3 pbc="T T T"
Zr 0.000 0.000 0.000
Tc 0.000 0.000 2.269
Tc 0.000 2.269 0.000
Tc 2.269 0.000 0.000
W 2.269 2.269 2.269
```

---

(4)
DFT (SCAN) results for Dy3Ni7B2 at its PBEsol-relaxed geometry.

```
24
Lattice="4.995 0.000 0.000 -2.497 4.326 0.000 0.000 0.000 14.109" Properties=species:S:1:pos:R:3 pbc="T T T"
Dy 0.000 2.884 0.456
Dy 0.000 2.884 3.527
Dy 0.000 2.884 6.599
Dy 2.497 1.442 7.510
Dy 2.497 1.442 10.582
Dy 2.497 1.442 13.653
Ni 0.000 0.000 0.000
Ni 0.000 0.000 7.054
Ni 0.000 1.432 9.146
Ni 0.000 1.432 12.018
Ni -1.257 3.610 9.146
Ni -1.257 3.610 12.018
Ni 1.240 0.716 2.091
Ni 1.240 0.716 4.963
Ni 1.257 3.610 9.146
Ni 1.257 3.610 12.018
Ni 3.755 0.716 2.091
Ni 3.755 0.716 4.963
Ni 2.497 2.893 2.091
Ni 2.497 2.893 4.963
B 0.000 0.000 3.527
B 0.000 0.000 10.582
B 0.000 2.884 10.582
B 2.497 1.442 3.527
```

---

(5)
DFT (SCAN) results for Er2ReB6 at its PBEsol-relaxed geometry.

```
36
Lattice="9.078 0.000 0.000 0.000 11.428 0.000 0.000 0.000 3.611" Properties=species:S:1:pos:R:3 pbc="T T T"
Er 0.519 1.483 0.000
Er 1.610 4.728 0.000
Er 2.928 10.442 0.000
Er 4.019 7.197 0.000
Er 5.058 4.231 0.000
Er 6.149 0.986 0.000
Er 7.467 6.700 0.000
Er 8.558 9.944 0.000
Re 1.258 7.764 0.000
Re 3.281 2.050 0.000
Re 5.797 9.377 0.000
Re 7.820 3.663 0.000
B 0.171 3.292 1.805
B 0.481 6.476 1.805
B 0.903 11.110 1.805
B 1.182 9.313 1.805
B 1.886 2.684 1.805
B 2.273 0.921 1.805
B 2.266 6.635 1.805
B 2.653 8.398 1.805
B 3.357 3.599 1.805
B 3.636 5.397 1.805
B 4.058 0.762 1.805
B 4.368 9.006 1.805
B 4.710 2.422 1.805
B 5.020 10.666 1.805
B 5.442 6.031 1.805
B 5.721 7.828 1.805
B 6.424 3.029 1.805
B 6.812 4.793 1.805
B 6.805 10.506 1.805
B 7.192 8.743 1.805
B 7.896 2.115 1.805
B 8.174 0.317 1.805
B 8.596 4.952 1.805
B 8.907 8.135 1.805
```

---

(6)
DFT (SCAN) results for SbOsSN2 at its PBEsol-relaxed geometry.

```
5
Lattice="3.883 0.000 0.000 0.000 3.883 0.000 0.000 0.000 5.197" Properties=species:S:1:pos:R:3 pbc="T T T"
Sb 0.000 0.000 0.000
Os 1.941 1.941 2.598
S 0.000 0.000 2.598
N 0.000 1.941 0.000
N 1.941 0.000 0.000
```

Calculated values
The calculation puts the uncorrected formation energy at 990 kJ/mol of formula units. As for the energy above the most stable polymorph in this dataset: 1278.7 meV per atom.

---

| no. | E_tot (eV/atom) |
| --- | --- |
| 1 | -60.424 |
| 2 | -28.174 |
| 3 | -38.781 |
| 4 | -23.172 |
| 5 | -24.774 |
| 6 | -25.417 |